Entry 1:
Here is crystalline ErGa3Pt2 at its relaxed geometry from Alexandria. Energies are from PBE.

Volume ... 329 Å³/cell
DFT formation energy ... -814 meV/atom
SG ... C2/m (12)

Cell lengths 8.6662, 8.6662, 9.9833 Å; angles 104.37, 104.37, 27.01 degrees
Closest atoms and distances in Å follow each position.
Atoms (fractional coordinates):
Er: 0.0000 0.0000 0.0000  6 Pt 3.05-3.37, 4 Ga 3.23
Er: 0.1528 0.1528 0.7045  8 Ga 3.13-3.49, 6 Pt 3.19-3.29
Er: 0.8472 0.8472 0.2955  8 Ga 3.13-3.49, 6 Pt 3.19-3.29
Ga: 0.0447 0.0447 0.3604  4 Pt 2.54-2.62, 2 Ga 2.67
Ga: 0.2207 0.2207 0.3801  4 Pt 2.48-2.63
Ga: 0.3436 0.3436 0.0553  4 Pt 2.48-2.64, 1 Ga 2.60
Ga: 0.3690 0.3690 0.8094  4 Pt 2.58-2.60, 1 Ga 2.60
Ga: 0.5000 0.5000 0.5000  4 Pt 2.55-2.74, 4 Ga 2.67
Ga: 0.6310 0.6310 0.1906  4 Pt 2.58-2.60, 1 Ga 2.60
Ga: 0.6564 0.6564 0.9447  4 Pt 2.48-2.64, 1 Ga 2.60
Ga: 0.7793 0.7793 0.6199  4 Pt 2.48-2.63
Ga: 0.9553 0.9553 0.6396  4 Pt 2.54-2.62, 2 Ga 2.67
Pt: 0.2061 0.2061 0.1151  6 Ga 2.54-2.64
Pt: 0.3580 0.3580 0.5465  7 Ga 2.48-2.63
Pt: 0.4818 0.4818 0.2192  5 Ga 2.48-2.74
Pt: 0.5182 0.5182 0.7808  5 Ga 2.48-2.74
Pt: 0.6420 0.6420 0.4535  7 Ga 2.48-2.63
Pt: 0.7939 0.7939 0.8849  6 Ga 2.54-2.64

=====

Entry 2:
Here is crystalline Er4Ga3Pt at its relaxed geometry from Alexandria. Energies are from PBE.

Volume ... 182 Å³/cell
DFT formation energy ... -785 meV/atom
SG ... Pmm2 (25)

Cell lengths 3.8482, 4.3198, 10.9741 Å; angles 90.00, 90.00, 90.00 degrees
Closest atoms and distances in Å follow each position.
Atoms (fractional coordinates):
Er: 0.0000 0.0000 0.0000  5 Ga 2.95-3.22, 2 Pt 3.01
Er: 0.0000 0.5000 0.2718  4 Pt 2.97, 3 Ga 3.10-3.12
Er: 0.5000 0.0000 0.4765  1 Pt 2.91, 6 Ga 3.02-3.17
Er: 0.5000 0.5000 0.7795  7 Ga 2.98-3.11
Ga: 0.0000 0.0000 0.7067  2 Ga 2.72, 4 Er 3.00
Ga: 0.0000 0.5000 0.5565  2 Ga 2.72, 4 Er 3.02
Ga: 0.5000 0.5000 0.0508  2 Pt 2.79, 7 Er 2.95-3.10
Pt: 0.5000 0.0000 0.2111  2 Ga 2.79, 7 Er 2.91-3.01

=====

Entry 3:
Here is crystalline Er2Ga9Pt3 at its relaxed geometry from Alexandria. Energies are from PBE.

Volume ... 487 Å³/cell
DFT formation energy ... -652 meV/atom
SG ... C2/c (15)

Cell lengths 7.6863, 7.6863, 10.4733 Å; angles 111.31, 111.31, 60.22 degrees
Closest atoms and distances in Å follow each position.
Atoms (fractional coordinates):
Er: 0.0837 0.2522 0.2510  11 Ga 3.01-3.20
Er: 0.2522 0.0837 0.7510  11 Ga 3.01-3.20
Er: 0.7478 0.9163 0.2490  11 Ga 3.01-3.20
Er: 0.9163 0.7478 0.7490  11 Ga 3.01-3.20
Ga: 0.0230 0.8638 0.0805  3 Pt 2.63-2.69, 2 Ga 2.78-2.79
Ga: 0.1362 0.9770 0.4195  3 Pt 2.63-2.69, 2 Ga 2.78-2.79
Ga: 0.1920 0.3597 0.5813  3 Pt 2.62-2.69, 2 Ga 2.76-2.77
Ga: 0.2132 0.5822 0.2505  2 Pt 2.57-2.58, 6 Ga 2.72-2.81
Ga: 0.3051 0.4769 0.9261  3 Pt 2.63-2.70, 2 Ga 2.80-2.81
Ga: 0.3597 0.1920 0.0813  3 Pt 2.62-2.69, 2 Ga 2.76-2.77
Ga: 0.3744 0.6256 0.7500  2 Pt 2.59, 6 Ga 2.75-2.80
Ga: 0.4178 0.7868 0.2495  2 Pt 2.57-2.58, 6 Ga 2.72-2.81
Ga: 0.4769 0.3051 0.4261  3 Pt 2.63-2.70, 2 Ga 2.80-2.81
Ga: 0.5231 0.6949 0.5739  3 Pt 2.63-2.70, 2 Ga 2.80-2.81
Ga: 0.5822 0.2132 0.7505  2 Pt 2.57-2.58, 6 Ga 2.72-2.81
Ga: 0.6256 0.3744 0.2500  2 Pt 2.59, 6 Ga 2.75-2.80
Ga: 0.6403 0.8080 0.9187  3 Pt 2.62-2.69, 2 Ga 2.76-2.77
Ga: 0.6949 0.5231 0.0739  3 Pt 2.63-2.70, 2 Ga 2.80-2.81
Ga: 0.7868 0.4178 0.7495  2 Pt 2.57-2.58, 6 Ga 2.72-2.81
Ga: 0.8080 0.6403 0.4187  3 Pt 2.62-2.69, 2 Ga 2.76-2.77
Ga: 0.8638 0.0230 0.5805  3 Pt 2.63-2.69, 2 Ga 2.78-2.79
Ga: 0.9770 0.1362 0.9195  3 Pt 2.63-2.69, 2 Ga 2.78-2.79
Pt: 0.0000 0.5000 0.0000  8 Ga 2.58-2.69
Pt: 0.1607 0.6674 0.4982  8 Ga 2.57-2.70
Pt: 0.3326 0.8393 0.0018  8 Ga 2.57-2.70
Pt: 0.5000 0.0000 0.5000  8 Ga 2.58-2.69
Pt: 0.6674 0.1607 0.9982  8 Ga 2.57-2.70
Pt: 0.8393 0.3326 0.5018  8 Ga 2.57-2.70

=====

Entry 4:
Here is crystalline Er2Ga4Pt3 at its relaxed geometry from Alexandria. Energies are from PBE.

Volume ... 167 Å³/cell
DFT formation energy ... -792 meV/atom
SG ... Fmmm (69)

Cell lengths 7.9743, 6.9564, 5.4904 Å; angles 78.72, 58.81, 42.47 degrees
Closest atoms and distances in Å follow each position.
Atoms (fractional coordinates):
Er: 0.1264 0.1264 0.8736  8 Ga 3.07-3.22, 6 Pt 3.18-3.19, 1 Er 3.23
Er: 0.8736 0.8736 0.1264  8 Ga 3.07-3.22, 6 Pt 3.18-3.19, 1 Er 3.23
Ga: 0.1652 0.4985 0.5015  1 Ga 2.63, 3 Pt 2.67
Ga: 0.4985 0.1652 0.8348  1 Ga 2.63, 3 Pt 2.67
Ga: 0.5015 0.8348 0.1652  1 Ga 2.63, 3 Pt 2.67
Ga: 0.8348 0.5015 0.4985  1 Ga 2.63, 3 Pt 2.67
Pt: 0.0000 0.0000 0.5000  4 Ga 2.67, 4 Pt 2.73-2.75
Pt: 0.5000 0.5000 0.0000  4 Ga 2.67, 4 Pt 2.73-2.75
Pt: 0.5000 0.5000 0.5000  4 Ga 2.67, 4 Pt 2.75

=====

Entry 5:
Here is crystalline ErGaPt3 at its relaxed geometry from Alexandria. Energies are from PBE.

Volume ... 200 Å³/cell
DFT formation energy ... -616 meV/atom
SG ... Pbam (55)
Distance to the lowest polymorph of the same formula ... 0.2952 eV per atom

Cell lengths 5.9329, 6.6370, 5.0807 Å; angles 90.00, 90.00, 90.00 degrees
Closest atoms and distances in Å follow each position.
Atoms (fractional coordinates):
Er: 0.0000 0.0000 0.0000  6 Pt 2.87-2.97
Er: 0.5000 0.5000 0.0000  6 Pt 2.87-2.97
Ga: 0.0000 0.5000 0.5000  6 Pt 2.40-2.54
Ga: 0.5000 0.0000 0.5000  6 Pt 2.40-2.54
Pt: 0.0000 0.5000 0.0000  2 Ga 2.54
Pt: 0.1357 0.1598 0.5000  2 Ga 2.40-2.41, 1 Pt 2.66
Pt: 0.3643 0.6598 0.5000  2 Ga 2.40-2.41, 1 Pt 2.66
Pt: 0.5000 0.0000 0.0000  2 Ga 2.54
Pt: 0.6357 0.3402 0.5000  2 Ga 2.40-2.41, 1 Pt 2.66
Pt: 0.8643 0.8402 0.5000  2 Ga 2.40-2.41, 1 Pt 2.66

=====

Entry 6:
Here is crystalline Er2Ga3Pt4 at its relaxed geometry from Alexandria. Energies are from PBE.

Volume ... 323 Å³/cell
DFT formation energy ... -1037 meV/atom
SG ... Cmce (64)

Cell lengths 8.1172, 8.1172, 7.5953 Å; angles 90.00, 90.00, 139.74 degrees
Closest atoms and distances in Å follow each position.
Atoms (fractional coordinates):
Er: 0.1059 0.8941 0.9080  8 Pt 3.03-3.38, 4 Ga 3.09-3.30
Er: 0.3941 0.6059 0.4080  8 Pt 3.03-3.38, 4 Ga 3.09-3.30
Er: 0.6059 0.3941 0.5920  8 Pt 3.03-3.38, 4 Ga 3.09-3.30
Er: 0.8941 0.1059 0.0920  8 Pt 3.03-3.38, 4 Ga 3.09-3.30
Ga: 0.0000 0.0000 0.5000  6 Pt 2.52-2.75
Ga: 0.0189 0.4811 0.7500  5 Pt 2.59-2.63, 2 Ga 2.79
Ga: 0.4811 0.0189 0.2500  5 Pt 2.59-2.63, 2 Ga 2.79
Ga: 0.5000 0.5000 0.0000  6 Pt 2.52-2.75
Ga: 0.5189 0.9811 0.7500  5 Pt 2.59-2.63, 2 Ga 2.79
Ga: 0.9811 0.5189 0.2500  5 Pt 2.59-2.63, 2 Ga 2.79
Pt: 0.1801 0.8199 0.5255  5 Ga 2.59-2.75
Pt: 0.1907 0.3093 0.7500  3 Ga 2.52-2.62, 2 Pt 2.79
Pt: 0.3093 0.1907 0.2500  3 Ga 2.52-2.62, 2 Pt 2.79
Pt: 0.3199 0.6801 0.0255  5 Ga 2.59-2.75
Pt: 0.6801 0.3199 0.9745  5 Ga 2.59-2.75
Pt: 0.6907 0.8093 0.7500  3 Ga 2.52-2.62, 2 Pt 2.79
Pt: 0.8093 0.6907 0.2500  3 Ga 2.52-2.62, 2 Pt 2.79
Pt: 0.8199 0.1801 0.4745  5 Ga 2.59-2.75